14
Lattice="-3.6183 3.6183 3.7831 3.6183 -3.6183 3.7831 3.6183 3.6183 -3.7831" Properties=species:S:1:pos:R:3 comment="PBE NbNi5Rh8, relaxed" formation_enthalpy_0k_ev_per_atom=0.155 sg="No. 82" e_tot_ev_per_atom=-6.8298 pbc="T T T"
Nb 0.0000 0.0000 0.0000
Ni 4.4821 1.4918 -1.3141
Ni 3.6183 0.0000 1.8916
Ni 1.4918 2.7546 1.3141
Ni -0.8637 2.1265 2.4690
Ni 2.1265 0.8637 5.0973
Rh 2.3834 0.7176 -0.0158
Rh 2.4187 3.1021 -1.2113
Rh 2.9007 -1.2349 3.7990
Rh 1.1996 0.5162 2.5718
Rh 4.1346 2.4187 1.2113
Rh 0.7176 4.8533 0.0158
Rh -0.5162 1.1996 4.9945
Rh 1.2349 2.9007 3.7673


13
Lattice="2.3271 1.3436 9.4291 -2.3271 1.3436 9.4291 0.0000 -2.6871 9.4291" Properties=species:S:1:pos:R:3 comment="PBE Nb3Ni8Rh2, relaxed" formation_enthalpy_0k_ev_per_atom=-0.039 sg="No. 166" e_tot_ev_per_atom=-7.0515 pbc="T T T"
Nb 0.0000 0.0000 0.0000
Nb 0.0000 0.0000 5.2889
Nb 0.0000 0.0000 22.9983
Ni -1.1681 -0.6744 15.9803
Ni 0.0000 -1.3488 12.3069
Ni -1.1681 0.6744 12.3069
Ni 0.0000 0.0000 7.7271
Ni 0.0000 0.0000 20.5601
Ni 1.1681 -0.6744 15.9803
Ni 0.0000 1.3488 15.9803
Ni 1.1681 0.6744 12.3068
Rh 0.0000 0.0000 10.1613
Rh 0.0000 0.0000 18.1259


6
Lattice="3.8211 0.0000 0.0000 0.0000 1.9073 5.9133 0.0000 -1.9073 5.9133" Properties=species:S:1:pos:R:3 comment="PBE NbNiRh, relaxed" formation_enthalpy_0k_ev_per_atom=-0.326 sg="No. 38" e_tot_ev_per_atom=-8.0602 pbc="T T T"
Nb 0.0000 0.0000 0.0000
Nb 0.0000 0.0000 3.7176
Ni 1.9105 0.0000 1.8285
Ni 1.9105 0.0000 5.7659
Rh 0.0000 0.0000 7.6983
Rh 1.9105 0.0000 9.7083


9
Lattice="2.8409 -5.8388 0.0000 2.8409 5.8388 0.0000 -1.1782 0.0000 3.4849" Properties=species:S:1:pos:R:3 comment="PBE NbNi6Rh2, relaxed" formation_enthalpy_0k_ev_per_atom=-0.013 sg="No. 12" e_tot_ev_per_atom=-6.6197 pbc="T T T"
Nb 0.0000 0.0000 0.0000
Ni 1.7756 1.8017 0.5708
Ni 1.1624 0.0000 2.3343
Ni 2.7279 1.8017 2.9141
Ni 1.7756 -1.8017 0.5708
Ni 3.3411 0.0000 1.1506
Ni 2.7279 -1.8017 2.9141
Rh 2.2518 3.9443 1.7424
Rh 2.2518 -3.9443 1.7424


10
Lattice="7.0066 0.0000 0.0000 0.0000 7.0066 0.0000 0.0000 0.0000 2.8478" Properties=species:S:1:pos:R:3 comment="PBE NbNi2Rh2, relaxed" polymorph_energy_ev_per_atom=0.2191 formation_enthalpy_0k_ev_per_atom=-0.036 sg="No. 127" e_tot_ev_per_atom=-7.3028 pbc="T T T"
Nb 0.0000 0.0000 0.0000
Nb 3.5033 3.5033 0.0000
Ni 1.1627 2.3406 1.4239
Ni 2.3406 5.8439 1.4239
Ni 4.6660 1.1627 1.4239
Ni 5.8439 4.6660 1.4239
Rh 0.9263 4.4296 0.0000
Rh 2.5770 0.9263 0.0000
Rh 4.4296 6.0803 0.0000
Rh 6.0803 2.5770 0.0000


3
Lattice="4.2529 0.0000 0.0000 0.0000 2.7676 0.0000 -1.4665 0.0000 4.3573" Properties=species:S:1:pos:R:3 comment="PBE NbNiRh, relaxed" formation_enthalpy_0k_ev_per_atom=0.379 sg="No. 10" e_tot_ev_per_atom=-7.3555 pbc="T T T"
Nb 0.0000 0.0000 0.0000
Ni 1.3932 0.0000 2.1787
Rh -0.7332 1.3838 2.1787